Record 1
Below is an optimized crystal structure of Be2ZnBr, with properties calculated at the PBE level.

Uncorrected formation energy ... 471 meV per atom
Electronic total energy ... -2.13 eV/atom
E above lowest polymorph ... 433 meV per atom
Total magnetization ... 0.00 μB per formula unit

a = 3.112 Å, b = 3.112 Å, c = 7.066 Å
α = 90.00°, β = 90.00°, γ = 90.00°
Atoms (fractional coordinates):
Be 0.000 0.000 0.000
Be 0.500 0.500 0.188
Zn 0.500 0.500 0.861
Br 0.000 0.000 0.363

Record 2
Below is an optimized crystal structure of BeZn2Br, with properties calculated at the PBE level.

Uncorrected formation energy ... 118 meV per atom
Electronic total energy ... -1.87 eV/atom
E above lowest polymorph ... 193 meV per atom
Total magnetization ... 0.00 μB per formula unit

a = 3.564 Å, b = 3.152 Å, c = 7.888 Å
α = 90.00°, β = 101.41°, γ = 90.00°
Atoms (fractional coordinates):
Be 0.000 0.000 0.000
Zn 0.143 0.000 0.320
Zn 0.582 0.500 0.182
Br 0.915 0.500 0.805

Record 3
Below is an optimized crystal structure of BeZn2Br, with properties calculated at the PBE level.

Uncorrected formation energy ... 458 meV per atom
Electronic total energy ... -1.53 eV/atom
E above lowest polymorph ... 533 meV per atom
Total magnetization ... 0.00 μB per formula unit

a = 4.846 Å, b = 4.846 Å, c = 3.606 Å
α = 90.00°, β = 90.00°, γ = 118.31°
Atoms (fractional coordinates):
Be 0.000 0.000 0.000
Zn 0.000 0.500 0.500
Zn 0.500 0.000 0.500
Br 0.500 0.500 0.000

Record 4
Below is an optimized crystal structure of BeZnBr, with properties calculated at the PBE level.

Uncorrected formation energy ... 225 meV per atom
Electronic total energy ... -2.00 eV/atom
E above lowest polymorph ... 100 meV per atom
Total magnetization ... 0.00 μB per formula unit

a = 6.887 Å, b = 6.284 Å, c = 3.660 Å
α = 83.19°, β = 64.96°, γ = 31.85°
Atoms (fractional coordinates):
Be 0.000 0.000 0.000
Zn 0.363 0.363 0.637
Br 0.626 0.626 0.374

Record 5
Below is an optimized crystal structure of BeZnBr, with properties calculated at the PBE level.

Uncorrected formation energy ... 354 meV per atom
Electronic total energy ... -1.87 eV/atom
E above lowest polymorph ... 228 meV per atom
Total magnetization ... 0.00 μB per formula unit

a = 6.108 Å, b = 6.108 Å, c = 6.108 Å
α = 150.10°, β = 150.10°, γ = 42.80°
Atoms (fractional coordinates):
Be 0.000 0.000 0.000
Zn 0.603 0.603 0.000
Br 0.357 0.357 0.000

Record 6
Below is an optimized crystal structure of Be2ZnBr, with properties calculated at the PBE level.

Uncorrected formation energy ... 456 meV per atom
Electronic total energy ... -2.14 eV/atom
E above lowest polymorph ... 418 meV per atom
Total magnetization ... 0.00 μB per formula unit

a = 7.133 Å, b = 7.133 Å, c = 7.133 Å
α = 25.66°, β = 25.66°, γ = 25.66°
Atoms (fractional coordinates):
Be 0.246 0.246 0.246
Be 0.754 0.754 0.754
Zn 0.500 0.500 0.500
Br 0.000 0.000 0.000